The following is a DFT calculation (PBE) of an optimized crystal structure of RbIn2Pb5.

Cell: 13.947 10.732 3.624 Å, 90.00 104.73 90.00°
Space group C2/m (No. 12)
Inequivalent atoms, fractional coordinates:
Rb1 0.000 0.000 0.000 (multiplicity 2)
In1 0.247 0.000 0.743 (multiplicity 4)
Pb1 0.000 0.500 0.000 (multiplicity 2)
Pb2 0.138 0.281 0.642 (multiplicity 8)

## Properties
ΔE_f = -17 meV/atom
Density of states at the Fermi level = 0.4577 states/eV per atom